Entry 1:
Entry from the Alexandria database: an optimized crystal structure of Nd2GaPb (PBE-GGA).

Its total energy is -4.65 eV per atom. Its total magnetization is 0.003 μB/f.u. The density of states at the Fermi level comes out at 8.2 states/eV/cell. For the formation energy, the calculation gives -56.3 kJ per mole of atoms.

It has space group P2_1/m (No. 11), with a = 6.288 Å, b = 4.315 Å, c = 9.074 Å, α = 90.00°, β = 108.01° and γ = 90.00°. The inequivalent atoms are Nd at (0.195, 0.250, 0.424), Nd at (0.278, 0.750, 0.062), Ga at (0.122, 0.250, 0.792) and Pb at (0.376, 0.750, 0.710).

Entry 2:
Entry from the Alexandria database: an optimized crystal structure of Nd6GaPb2 (PBE-GGA).

Its total energy is -4.77 eV per atom. Its total magnetization is 4.947 μB/f.u. The density of states at the Fermi level comes out at 8.0 states/eV/cell. For the formation energy, the calculation gives -41.7 kJ per mole of atoms.

It has space group P-62m (No. 189), with a = 8.6077 Å, b = 8.6077 Å, c = 4.4857 Å, α = 90.00°, β = 90.00° and γ = 120.00°. The inequivalent atoms are Nd at (0.0000, 0.2466, 0.0000), Nd at (0.0000, 0.5931, 0.5000), Ga at (0.0000, 0.0000, 0.5000) and Pb at (0.3333, 0.6667, 0.0000).

Entry 3:
Entry from the Alexandria database: an optimized crystal structure of Nd5GaPb2 (PBE-GGA).

Its total energy is -4.78 eV per atom. Its total magnetization is 0.000 μB/f.u. The density of states at the Fermi level comes out at 18.0 states/eV/cell. For the formation energy, the calculation gives -47.6 kJ per mole of atoms.

It has space group Pbam (No. 55), with a = 8.258 Å, b = 12.704 Å, c = 4.844 Å, α = 90.00°, β = 90.00° and γ = 90.00°. The inequivalent atoms are Nd at (0.000, 0.000, 0.000), Nd at (0.154, 0.284, 0.000), Nd at (0.191, 0.567, 0.500), Ga at (0.000, 0.500, 0.000) and Pb at (0.077, 0.829, 0.500).

Entry 4:
Entry from the Alexandria database: an optimized crystal structure of Nd6Ga3Pb (PBE-GGA).

Its total energy is -4.49 eV per atom. Its total magnetization is 0.000 μB/f.u. The density of states at the Fermi level comes out at 36.4 states/eV/cell. For the formation energy, the calculation gives -33.9 kJ per mole of atoms.

It has space group Cmc2_1 (No. 36), with a = 10.713 Å, b = 15.254 Å, c = 7.282 Å, α = 90.00°, β = 90.00° and γ = 90.00°. The inequivalent atoms are Nd at (0.000, 0.033, 0.000), Nd at (0.000, 0.305, 0.026), Nd at (0.197, 0.308, 0.499), Nd at (0.221, 0.461, 0.144), Ga at (0.000, 0.460, 0.408), Ga at (0.130, 0.135, 0.304) and Pb at (0.000, 0.169, 0.675).